No. 1
# La2Os2S

La2Os2S after structural relaxation (PBE-GGA, Alexandria).

POSCAR file:
```
La2Os2S
1.0
-6.6388 -0.5023 3.3145
0.1495 -7.3902 -0.8206
1.8665 -0.3711 3.6822
La Os S
4 4 2
direct
0.8127 0.3127 0.5000
0.6873 0.8127 0.5000
0.1873 0.6873 0.5000
0.3127 0.1873 0.5000
0.6121 0.1121 0.0000
0.3879 0.8879 0.0000
0.8879 0.6121 0.0000
0.1121 0.3879 0.0000
0.0000 0.0000 0.0000
0.5000 0.5000 0.0000
```

Values from the calculation:
excess energy over the best structure of this formula in the dataset	0.0643	eV/atom
formation energy without anion corrections	-0.04	eV/atom
space-group type	P4/mbm (127)



No. 2
# HgRu

HgRu after structural relaxation (PBE-GGA, Alexandria).

POSCAR file:
```
HgRu
1.0
7.4862 0.0000 0.0000
0.0000 7.4862 0.0000
0.0000 0.0000 7.4862
Hg Ru
6 6
direct
0.0000 0.7500 0.5000
0.0000 0.2500 0.5000
0.2500 0.5000 0.0000
0.7500 0.5000 0.0000
0.5000 0.0000 0.2500
0.5000 0.0000 0.7500
0.7500 0.0000 0.5000
0.5000 0.7500 0.0000
0.0000 0.5000 0.7500
0.2500 0.0000 0.5000
0.0000 0.5000 0.2500
0.5000 0.2500 0.0000
```

Values from the calculation:
formation energy	1.833	eV/atom
space-group type	Pm-3n (223)



Number 1: final energy -0.5387 Ry per atom. Number 2: final energy -0.2172 Ry per atom.